Entry 1:
## AlTeS2N (PBE)

Data for AlTeS2N after structural relaxation.

raw formation energy: 896.4 meV per atom
V: 20.5 Å³ per atom
excess energy over the best structure of this formula in the dataset: 0.586 eV per atom

Cell lengths 5.1128, 5.1128, 3.9143 Å; angles 90.00, 90.00, 90.00 degrees
Positions (direct):
Al 0.0000 0.0000 0.0000
Te 0.5000 0.5000 0.5000
S 0.0000 0.5000 0.5000
S 0.5000 0.0000 0.5000
N 0.5000 0.5000 0.0000

---

Entry 2:
## PbSeBr2 (PBE)

Data for PbSeBr2 after structural relaxation.

raw formation energy: -185.4 meV per atom
V: 34.5 Å³ per atom
excess energy over the best structure of this formula in the dataset: 0.279 eV per atom

Cell lengths 4.1590, 4.1590, 8.4299 Å; angles 90.00, 90.00, 108.79 degrees
Positions (direct):
Pb 0.0000 0.0000 0.0000
Se 0.5000 0.5000 0.7471
Br 0.0000 0.0000 0.6333
Br 0.5000 0.5000 0.2177

---

Entry 3:
## B3PH (PBE)

Data for B3PH after structural relaxation.

V: 11.3 Å³ per atom
excess energy over the best structure of this formula in the dataset: 0.210 eV per atom

Cell lengths 3.8425, 3.8425, 3.8425 Å; angles 90.00, 90.00, 90.00 degrees
Positions (direct):
B 0.0000 0.0000 0.5000
B 0.0000 0.5000 0.0000
B 0.5000 0.0000 0.0000
P 0.0000 0.0000 0.0000
H 0.5000 0.5000 0.5000